No. 1
# GGA-PBE Sm6Sn3Ru, relaxed
# V = 29.87 A^3/atom
# N(E_F) = 10.76 states/eV/f.u.
# E_form = -0.47 eV/atom
# crystal system = monoclinic
# total magnetic moment = 0.0 μB/f.u.
# total DFT energy (no corrections) = -108.61 eV per cell
data_Sm6Sn3Ru
_space_group_name_H-M_alt 'P 1 21/c 1'
_space_group_IT_number 14
_space_group_name_Hall '-P 2ybc'
_cell_length_a 6.142
_cell_length_b 8.856
_cell_length_c 12.412
_cell_angle_alpha 90.00
_cell_angle_beta 117.77
_cell_angle_gamma 90.00
loop_
_atom_site_label
_atom_site_type_symbol
_atom_site_fract_x
_atom_site_fract_y
_atom_site_fract_z
Sm1 Sm 0.052 0.158 0.440
Sm2 Sm 0.347 0.693 0.439
Sm3 Sm 0.392 0.044 0.267
Sn1 Sn 0.000 0.000 0.000
Sn2 Sn 0.160 0.117 0.760
Ru1 Ru 0.500 0.000 0.500


No. 2
# GGA-PBE ZnFeHg2, relaxed
# V = 20.21 A^3/atom
# N(E_F) = 3.74 states/eV/f.u.
# E_form = 0.27 eV/atom
# crystal system = orthorhombic
# total magnetic moment = 2.3 μB/f.u.
# total DFT energy (no corrections) = -18.50 eV per cell
data_ZnFeHg2
_space_group_name_H-M_alt 'I m m m'
_space_group_IT_number 71
_space_group_name_Hall '-I 2 2'
_cell_length_a 2.842
_cell_length_b 4.191
_cell_length_c 13.573
_cell_angle_alpha 90.00
_cell_angle_beta 90.00
_cell_angle_gamma 90.00
loop_
_atom_site_label
_atom_site_type_symbol
_atom_site_fract_x
_atom_site_fract_y
_atom_site_fract_z
Zn1 Zn 0.000 0.000 0.000
Fe1 Fe 0.000 0.000 0.500
Hg1 Hg 0.000 0.500 0.175


No. 3
# GGA-PBE Ca2TlSnN, relaxed
# V = 23.34 A^3/atom
# N(E_F) = 2.37 states/eV/f.u.
# crystal system = tetragonal
# total magnetic moment = 0.0 μB/f.u.
# excess energy over the best structure of this formula in the dataset = 0.076 eV/f.u.
# total DFT energy (no corrections) = -20.82 eV per cell
# uncorrected formation energy = -425 meV per atom
data_Ca2TlSnN
_space_group_name_H-M_alt 'P 4/m m m'
_space_group_IT_number 123
_space_group_name_Hall '-P 4 2'
_cell_length_a 4.813
_cell_length_b 4.813
_cell_length_c 5.037
_cell_angle_alpha 90.00
_cell_angle_beta 90.00
_cell_angle_gamma 90.00
loop_
_atom_site_label
_atom_site_type_symbol
_atom_site_fract_x
_atom_site_fract_y
_atom_site_fract_z
Ca1 Ca 0.000 0.500 0.000
Tl1 Tl 0.000 0.000 0.500
Sn1 Sn 0.500 0.500 0.500
N1 N 0.000 0.000 0.000


No. 4
# GGA-PBE Sm3TcC4, relaxed
# V = 15.15 A^3/atom
# N(E_F) = 3.86 states/eV/f.u.
# E_form = -0.14 eV/atom
# crystal system = orthorhombic
# total magnetic moment = 0.0 μB/f.u.
# total DFT energy (no corrections) = -125.00 eV per cell
data_Sm3TcC4
_space_group_name_H-M_alt 'I m m m'
_space_group_IT_number 71
_space_group_name_Hall '-I 2 2'
_cell_length_a 3.827
_cell_length_b 4.649
_cell_length_c 13.622
_cell_angle_alpha 90.00
_cell_angle_beta 90.00
_cell_angle_gamma 90.00
loop_
_atom_site_label
_atom_site_type_symbol
_atom_site_fract_x
_atom_site_fract_y
_atom_site_fract_z
Sm1 Sm 0.000 0.000 0.000
Sm2 Sm 0.000 0.500 0.185
Tc1 Tc 0.000 0.000 0.500
C1 C 0.000 0.349 0.377


No. 5
# GGA-PBE SiTeCl2, relaxed
# V = 22.21 A^3/atom
# N(E_F) = 2.41 states/eV/f.u.
# crystal system = tetragonal
# total magnetic moment = 0.0 μB/f.u.
# excess energy over the best structure of this formula in the dataset = 2.633 eV/f.u.
# total DFT energy (no corrections) = -10.91 eV per cell
# uncorrected formation energy = 336 meV per atom
data_SiTeCl2
_space_group_name_H-M_alt 'P 4/m m m'
_space_group_IT_number 123
_space_group_name_Hall '-P 4 2'
_cell_length_a 4.432
_cell_length_b 4.432
_cell_length_c 4.523
_cell_angle_alpha 90.00
_cell_angle_beta 90.00
_cell_angle_gamma 90.00
loop_
_atom_site_label
_atom_site_type_symbol
_atom_site_fract_x
_atom_site_fract_y
_atom_site_fract_z
Si1 Si 0.000 0.000 0.000
Te1 Te 0.500 0.500 0.000
Cl1 Cl 0.000 0.500 0.500


No. 6
# GGA-PBE Ac6Pm4Sm, relaxed
# V = 42.26 A^3/atom
# N(E_F) = 18.01 states/eV/f.u.
# E_form = 0.31 eV/atom
# crystal system = tetragonal
# total magnetic moment = 0.0 μB/f.u.
# total DFT energy (no corrections) = -89.86 eV per cell
data_Ac6Pm4Sm
_space_group_name_H-M_alt 'I -4 2 m'
_space_group_IT_number 121
_space_group_name_Hall 'I -4 2'
_cell_length_a 7.040
_cell_length_b 7.040
_cell_length_c 18.755
_cell_angle_alpha 90.00
_cell_angle_beta 90.00
_cell_angle_gamma 90.00
loop_
_atom_site_label
_atom_site_type_symbol
_atom_site_fract_x
_atom_site_fract_y
_atom_site_fract_z
Ac1 Ac 0.000 0.500 0.000
Ac2 Ac 0.183 0.183 0.147
Pm1 Pm 0.184 0.184 0.335
Sm1 Sm 0.000 0.000 0.500